Compound: La8Te4Ir3Rh
Source: the Alexandria database
Functional: PBE-GGA
Structure: optimized geometry

Computed properties:
Mass density   7.8 g/cm³
SG   No. 166
DOS(E_F)   10.15 states/eV/f.u.
VASP energy   -0.240 hartree per atom
Magnetic moment   0.00 μB/f.u.
Formation energy without anion corrections   -1.16 eV/atom

Cell: 9.0840 9.0840 9.0840 Å, 56.50 56.50 56.50°
Last column: nearest neighbours and their distance in Å.
Positions (direct):
La  0.2349  0.7374  0.7374  2 Ir 2.95, 1 Rh 2.96
La  0.2365  0.2365  0.2365  3 Ir 2.95
La  0.2626  0.2626  0.7651  2 Ir 2.95, 1 Rh 2.96
La  0.2626  0.7651  0.2626  2 Ir 2.95, 1 Rh 2.96
La  0.7374  0.2349  0.7374  2 Ir 2.95, 1 Rh 2.96
La  0.7374  0.7374  0.2349  2 Ir 2.95, 1 Rh 2.96
La  0.7635  0.7635  0.7635  3 Ir 2.95
La  0.7651  0.2626  0.2626  2 Ir 2.95, 1 Rh 2.96
Te  0.0000  0.0000  0.0000  6 La 3.31
Te  0.0000  0.5000  0.5000  6 La 3.32-3.33
Te  0.5000  0.0000  0.5000  6 La 3.32-3.33
Te  0.5000  0.5000  0.0000  6 La 3.32-3.33
Ir  0.0000  0.0000  0.5000  6 La 2.95
Ir  0.0000  0.5000  0.0000  6 La 2.95
Ir  0.5000  0.0000  0.0000  6 La 2.95
Rh  0.5000  0.5000  0.5000  6 La 2.96